No. 1
{"formula": "Mg2Ag3", "functional": "GGA-PBE", "state": "optimized geometry", "lattice": [[4.070, 0.000, 0.000], [2.035, 4.611, 0.011], [2.035, 0.193, 4.883]], "species": ["Ag", "Ag", "Ag", "Mg", "Mg"], "fractional_positions": [[0.001, 0.991, 0.008], [0.200, 0.200, 0.400], [0.399, 0.409, 0.792], [0.614, 0.579, 0.194], [0.786, 0.821, 0.606]], "total_magnetization_mub_per_cell": 0.000, "de_polymorph_mev_per_atom": 14.8, "energy_ev_per_atom": -2.530, "dos_at_fermi_per_ev_atom": 0.334, "ef_kj_per_mol_atoms": -17.5}


No. 2
{"formula": "Zn2GaWN4", "functional": "GGA-PBE", "state": "optimized geometry", "lattice": [[4.728, 0.196, 0.000], [-0.196, 4.728, 0.000], [-2.266, -2.462, 4.508]], "species": ["Zn", "Zn", "Ga", "W", "N", "N", "N", "N"], "fractional_positions": [[0.750, 0.250, 0.500], [0.250, 0.750, 0.500], [0.000, 0.000, 0.000], [0.500, 0.500, 0.000], [0.627, 0.627, 0.770], [0.373, 0.857, 0.230], [0.857, 0.373, 0.230], [0.143, 0.143, 0.770]], "total_magnetization_mub_per_cell": 0.000, "energy_ev_per_atom": -6.662, "dos_at_fermi_per_ev_atom": 0.207}


No. 3
{"formula": "TiAlTc3", "functional": "GGA-PBE", "state": "optimized geometry", "lattice": [[4.433, 0.000, 0.000], [0.000, 4.433, 0.000], [0.000, 0.000, 4.433]], "species": ["Al", "Tc", "Tc", "Tc", "Ti"], "fractional_positions": [[0.000, 0.000, 0.000], [0.000, 0.500, 0.000], [0.000, 0.000, 0.500], [0.500, 0.000, 0.000], [0.500, 0.500, 0.500]], "total_magnetization_mub_per_cell": 1.647, "de_polymorph_mev_per_atom": 1049.5, "energy_ev_per_atom": -7.482, "dos_at_fermi_per_ev_atom": 1.249, "ef_kj_per_mol_atoms": 102.8}


No. 4
{"formula": "NbSiS2", "functional": "GGA-PBE", "state": "optimized geometry", "lattice": [[6.301, 0.568, 5.657], [7.251, -2.007, 3.928], [7.922, 0.988, 2.879]], "species": ["Nb", "Si", "S", "S"], "fractional_positions": [[0.500, 0.500, 0.500], [0.000, 0.000, 0.000], [0.899, 0.899, 0.899], [0.101, 0.101, 0.101]], "total_magnetization_mub_per_cell": 0.000, "energy_ev_per_atom": -6.392, "dos_at_fermi_per_ev_atom": 0.331}


No. 5
{"formula": "Re2Ag2Rh", "functional": "GGA-PBE", "state": "optimized geometry", "lattice": [[-6.252, 5.079, 0.192], [-0.831, -0.720, -7.982], [-1.668, -2.067, 0.360]], "species": ["Re", "Re", "Re", "Re", "Rh", "Rh", "Ag", "Ag", "Ag", "Ag"], "fractional_positions": [[0.396, 0.896, 0.000], [0.896, 0.604, 0.000], [0.604, 0.104, 0.000], [0.104, 0.396, 0.000], [0.000, 0.000, 0.000], [0.500, 0.500, 0.000], [0.190, 0.690, 0.500], [0.690, 0.810, 0.500], [0.810, 0.310, 0.500], [0.310, 0.190, 0.500]], "total_magnetization_mub_per_cell": 1.747, "de_polymorph_mev_per_atom": 0.0, "energy_ev_per_atom": -6.578, "dos_at_fermi_per_ev_atom": 0.730, "ef_kj_per_mol_atoms": 97.6}


No. 6
{"formula": "La4Nd5Tm", "functional": "GGA-PBE", "state": "optimized geometry", "lattice": [[-2.748, 0.384, 2.337], [3.354, -9.507, 5.507], [6.540, 4.555, 4.127]], "species": ["La", "La", "La", "La", "Nd", "Nd", "Nd", "Nd", "Nd", "Tm"], "fractional_positions": [[0.658, 0.251, 0.317], [0.029, 0.753, 0.059], [0.342, 0.749, 0.683], [0.971, 0.247, 0.941], [0.171, 0.950, 0.343], [0.173, 0.557, 0.347], [0.827, 0.443, 0.653], [0.500, 0.500, 0.000], [0.829, 0.050, 0.657], [0.500, 0.000, 0.000]], "total_magnetization_mub_per_cell": 0.000, "de_polymorph_mev_per_atom": 143.1, "energy_ev_per_atom": -4.636, "dos_at_fermi_per_ev_atom": 1.569, "ef_kj_per_mol_atoms": 16.0}


Repeat the second record exactly.
{"formula": "Zn2GaWN4", "functional": "GGA-PBE", "state": "optimized geometry", "lattice": [[4.728, 0.196, 0.000], [-0.196, 4.728, 0.000], [-2.266, -2.462, 4.508]], "species": ["Zn", "Zn", "Ga", "W", "N", "N", "N", "N"], "fractional_positions": [[0.750, 0.250, 0.500], [0.250, 0.750, 0.500], [0.000, 0.000, 0.000], [0.500, 0.500, 0.000], [0.627, 0.627, 0.770], [0.373, 0.857, 0.230], [0.857, 0.373, 0.230], [0.143, 0.143, 0.770]], "total_magnetization_mub_per_cell": 0.000, "energy_ev_per_atom": -6.662, "dos_at_fermi_per_ev_atom": 0.207}


Copy entry 6 word for word.
{"formula": "La4Nd5Tm", "functional": "GGA-PBE", "state": "optimized geometry", "lattice": [[-2.748, 0.384, 2.337], [3.354, -9.507, 5.507], [6.540, 4.555, 4.127]], "species": ["La", "La", "La", "La", "Nd", "Nd", "Nd", "Nd", "Nd", "Tm"], "fractional_positions": [[0.658, 0.251, 0.317], [0.029, 0.753, 0.059], [0.342, 0.749, 0.683], [0.971, 0.247, 0.941], [0.171, 0.950, 0.343], [0.173, 0.557, 0.347], [0.827, 0.443, 0.653], [0.500, 0.500, 0.000], [0.829, 0.050, 0.657], [0.500, 0.000, 0.000]], "total_magnetization_mub_per_cell": 0.000, "de_polymorph_mev_per_atom": 143.1, "energy_ev_per_atom": -4.636, "dos_at_fermi_per_ev_atom": 1.569, "ef_kj_per_mol_atoms": 16.0}